[1]
An optimized crystal structure of KAlMo2, computed with PBE.

Total moment ... 0.000 μB per formula unit
Energy of formation from the pure elements ... 0.648 eV per atom
Total energy ... -0.439 Ry per atom

CIF file:
```
data_KAlMo2
_symmetry_space_group_name_H-M 'C 1 m 1'
_symmetry_Int_Tables_number 8
_cell_length_a 8.823
_cell_length_b 2.703
_cell_length_c 7.651
_cell_angle_alpha 90.00
_cell_angle_beta 91.77
_cell_angle_gamma 90.00
loop_
_symmetry_equiv_pos_as_xyz
'x,y,z'
'x,-y,z'
'x+1/2,y+1/2,z'
'x+1/2,-y+1/2,z'
loop_
_atom_site_label
_atom_site_fract_x
_atom_site_fract_y
_atom_site_fract_z
K1 0.000 0.000 0.000
Al1 0.255 0.500 0.341
Mo1 0.238 0.000 0.656
Mo2 0.489 0.000 0.501
```

***

[2]
An optimized crystal structure of Tb2SmSi2Ni2, computed with PBE.

Total moment ... 0.000 μB per formula unit
Total energy ... -0.429 Ry per atom

CIF file:
```
data_Tb2SmSi2Ni2
_symmetry_space_group_name_H-M 'R -3 m'
_symmetry_Int_Tables_number 166
_symmetry_space_group_name_Hall '-R 3 2"'
_cell_length_a 4.1590
_cell_length_b 4.1590
_cell_length_c 29.1164
_cell_angle_alpha 90.00
_cell_angle_beta 90.00
_cell_angle_gamma 120.00
loop_
_atom_site_label
_atom_site_fract_x
_atom_site_fract_y
_atom_site_fract_z
Tb1 0.0000 0.0000 0.1223
Sm1 0.0000 0.0000 0.0000
Si1 0.0000 0.0000 0.2646
Ni1 0.0000 0.0000 0.3993
```

***

[3]
An optimized crystal structure of AcScTl2, computed with PBE.

Total moment ... 0.564 μB per formula unit
Energy of formation from the pure elements ... -0.185 eV per atom
Total energy ... -0.292 Ry per atom

CIF file:
```
data_AcScTl2
_symmetry_space_group_name_H-M 'P 4/m m m'
_symmetry_Int_Tables_number 123
_symmetry_space_group_name_Hall '-P 4 2'
_cell_length_a 5.115
_cell_length_b 5.115
_cell_length_c 4.596
_cell_angle_alpha 90.00
_cell_angle_beta 90.00
_cell_angle_gamma 90.00
loop_
_atom_site_label
_atom_site_fract_x
_atom_site_fract_y
_atom_site_fract_z
Ac1 0.000 0.000 0.000
Sc1 0.500 0.500 0.000
Tl1 0.000 0.500 0.500
```

***

[4]
An optimized crystal structure of Na3TlHg4, computed with PBE.

Total moment ... 0.000 μB per formula unit
Energy of formation from the pure elements ... -0.203 eV per atom
Total energy ... -0.084 Ry per atom
Polymorph energy (0 for the lowest one) ... 0 meV/atom

CIF file:
```
data_Na3TlHg4
_symmetry_space_group_name_H-M 'P m m a'
_symmetry_Int_Tables_number 51
_cell_length_a 10.810
_cell_length_b 7.138
_cell_length_c 5.442
_cell_angle_alpha 90.00
_cell_angle_beta 90.00
_cell_angle_gamma 90.00
loop_
_symmetry_equiv_pos_as_xyz
'x,y,z'
'-x,-y,-z'
'-x+1/2,-y,z'
'x+1/2,y,-z'
'x+1/2,-y,-z'
'-x+1/2,y,z'
'-x,y,-z'
'x,-y,z'
loop_
_atom_site_label
_atom_site_fract_x
_atom_site_fract_y
_atom_site_fract_z
Na1 0.000 0.000 0.000
Na2 0.250 0.000 0.460
Na3 0.250 0.500 0.459
Tl1 0.000 0.500 0.000
Hg1 0.000 0.240 0.500
Hg2 0.250 0.237 0.957
```

***

[5]
An optimized crystal structure of Hf4AlGa2, computed with PBE.

Total moment ... 0.000 μB per formula unit
Energy of formation from the pure elements ... -0.278 eV per atom
Total energy ... -0.541 Ry per atom

CIF file:
```
data_Hf4AlGa2
_symmetry_space_group_name_H-M 'I -4 2 d'
_symmetry_Int_Tables_number 122
_symmetry_space_group_name_Hall 'I -4 2bw'
_cell_length_a 8.258
_cell_length_b 8.258
_cell_length_c 8.186
_cell_angle_alpha 90.00
_cell_angle_beta 90.00
_cell_angle_gamma 90.00
loop_
_atom_site_label
_atom_site_fract_x
_atom_site_fract_y
_atom_site_fract_z
Hf1 0.071 0.676 0.445
Al1 0.000 0.000 0.500
Ga1 0.128 0.750 0.125
```

***

[6]
An optimized crystal structure of TbPr6Nd3Ho2, computed with PBE.

Total moment ... 0.000 μB per formula unit
Energy of formation from the pure elements ... 0.014 eV per atom
Total energy ... -0.347 Ry per atom

CIF file:
```
data_TbPr6Nd3Ho2
_symmetry_space_group_name_H-M 'C 1 2/m 1'
_symmetry_Int_Tables_number 12
_cell_length_a 6.359
_cell_length_b 11.019
_cell_length_c 12.063
_cell_angle_alpha 90.00
_cell_angle_beta 100.12
_cell_angle_gamma 90.00
loop_
_symmetry_equiv_pos_as_xyz
'x,y,z'
'-x,-y,-z'
'-x,y,-z'
'x,-y,z'
'x+1/2,y+1/2,z'
'-x+1/2,-y+1/2,-z'
'-x+1/2,y+1/2,-z'
'x+1/2,-y+1/2,z'
loop_
_atom_site_label
_atom_site_fract_x
_atom_site_fract_y
_atom_site_fract_z
Tb1 0.000 0.000 0.000
Pr1 0.249 0.167 0.246
Pr2 0.249 0.500 0.246
Nd1 0.000 0.167 0.500
Nd2 0.000 0.500 0.500
Ho1 0.000 0.333 0.000
```

***

[7]
An optimized crystal structure of YZr3, computed with PBE.

Total moment ... 0.000 μB per formula unit
Energy of formation from the pure elements ... 0.120 eV per atom
Total energy ... -0.581 Ry per atom
Polymorph energy (0 for the lowest one) ... 67 meV/atom

CIF file:
```
data_YZr3
_symmetry_space_group_name_H-M 'C m m m'
_symmetry_Int_Tables_number 65
_symmetry_space_group_name_Hall '-C 2 2'
_cell_length_a 6.530
_cell_length_b 9.342
_cell_length_c 3.254
_cell_angle_alpha 90.00
_cell_angle_beta 90.00
_cell_angle_gamma 90.00
loop_
_atom_site_label
_atom_site_fract_x
_atom_site_fract_y
_atom_site_fract_z
Y1 0.000 0.000 0.000
Zr1 0.000 0.500 0.000
Zr2 0.250 0.250 0.500
```

***

[8]
An optimized crystal structure of TaTlZn2, computed with PBE.

Total moment ... 0.000 μB per formula unit
Energy of formation from the pure elements ... 0.315 eV per atom
Total energy ... -0.285 Ry per atom
Polymorph energy (0 for the lowest one) ... 108 meV/atom

CIF file:
```
data_TaTlZn2
_symmetry_space_group_name_H-M 'C 1 m 1'
_symmetry_Int_Tables_number 8
_cell_length_a 10.902
_cell_length_b 2.937
_cell_length_c 5.211
_cell_angle_alpha 90.00
_cell_angle_beta 118.05
_cell_angle_gamma 90.00
loop_
_symmetry_equiv_pos_as_xyz
'x,y,z'
'x,-y,z'
'x+1/2,y+1/2,z'
'x+1/2,-y+1/2,z'
loop_
_atom_site_label
_atom_site_fract_x
_atom_site_fract_y
_atom_site_fract_z
Ta1 0.000 0.000 0.000
Tl1 0.246 0.000 0.560
Zn1 0.240 0.500 0.047
Zn2 0.486 0.000 0.469
```

***

[9]
An optimized crystal structure of PuPaH6, computed with PBE.

Total moment ... 6.321 μB per formula unit
Total energy ... -0.425 Ry per atom

CIF file:
```
data_PuPaH6
_symmetry_space_group_name_H-M 'C 1 2/m 1'
_symmetry_Int_Tables_number 12
_cell_length_a 5.798
_cell_length_b 4.381
_cell_length_c 5.769
_cell_angle_alpha 90.00
_cell_angle_beta 96.48
_cell_angle_gamma 90.00
loop_
_symmetry_equiv_pos_as_xyz
'x,y,z'
'-x,-y,-z'
'-x,y,-z'
'x,-y,z'
'x+1/2,y+1/2,z'
'-x+1/2,-y+1/2,-z'
'-x+1/2,y+1/2,-z'
'x+1/2,-y+1/2,z'
loop_
_atom_site_label
_atom_site_fract_x
_atom_site_fract_y
_atom_site_fract_z
Pu1 0.000 0.000 0.000
Pa1 0.000 0.500 0.500
H1 0.115 0.000 0.409
H2 0.227 0.237 0.773
```

***

[10]
An optimized crystal structure of La2YHo9, computed with PBE.

Total moment ... 0.000 μB per formula unit
Energy of formation from the pure elements ... 0.032 eV per atom
Total energy ... -0.350 Ry per atom

CIF file:
```
data_La2YHo9
_symmetry_space_group_name_H-M 'P 4/m m m'
_symmetry_Int_Tables_number 123
_symmetry_space_group_name_Hall '-P 4 2'
_cell_length_a 5.046
_cell_length_b 5.046
_cell_length_c 15.150
_cell_angle_alpha 90.00
_cell_angle_beta 90.00
_cell_angle_gamma 90.00
loop_
_atom_site_label
_atom_site_fract_x
_atom_site_fract_y
_atom_site_fract_z
La1 0.000 0.000 0.166
Y1 0.000 0.000 0.500
Ho1 0.000 0.500 0.000
Ho2 0.000 0.500 0.336
Ho3 0.500 0.500 0.169
Ho4 0.500 0.500 0.500
```

***

[11]
An optimized crystal structure of CsHoSn2I8, computed with PBE.

Total moment ... 0.000 μB per formula unit
Total energy ... -0.226 Ry per atom

CIF file:
```
data_CsHoSn2I8
_symmetry_space_group_name_H-M 'P -1'
_symmetry_Int_Tables_number 2
_cell_length_a 7.473
_cell_length_b 7.857
_cell_length_c 10.348
_cell_angle_alpha 83.10
_cell_angle_beta 83.08
_cell_angle_gamma 85.90
loop_
_symmetry_equiv_pos_as_xyz
'x,y,z'
'-x,-y,-z'
loop_
_atom_site_label
_atom_site_fract_x
_atom_site_fract_y
_atom_site_fract_z
Cs1 0.000 0.000 0.000
Ho1 0.000 0.000 0.500
Sn1 0.468 0.484 0.247
I1 0.222 0.319 0.480
I2 0.239 0.834 0.701
I3 0.261 0.393 0.044
I4 0.262 0.855 0.287
```

***

[12]
An optimized crystal structure of Pr2Nd4Sb3H2, computed with PBE.

Total moment ... 0.000 μB per formula unit
Total energy ... -0.375 Ry per atom

CIF file:
```
data_Pr2Nd4Sb3H2
_symmetry_space_group_name_H-M 'I 4/m m m'
_symmetry_Int_Tables_number 139
_symmetry_space_group_name_Hall '-I 4 2'
_cell_length_a 4.799
_cell_length_b 4.799
_cell_length_c 25.735
_cell_angle_alpha 90.00
_cell_angle_beta 90.00
_cell_angle_gamma 90.00
loop_
_atom_site_label
_atom_site_fract_x
_atom_site_fract_y
_atom_site_fract_z
Pr1 0.000 0.000 0.200
Nd1 0.000 0.500 0.082
Sb1 0.000 0.000 0.326
Sb2 0.000 0.000 0.500
H1 0.000 0.000 0.103
```